(1)
A plane-wave DFT calculation with PBE was carried out for an optimized crystal structure of Ti5Ga3Pd.

Energy of formation = 3 kJ per mole of atoms
Total magnetization = 0.000 μB per formula unit

a b c (Å): 5.8567 5.8567 9.8786
angles (deg): 86.63 86.63 80.21
Fractional coordinates of all 18 atoms:
Ti1 0.0066 0.4026 0.3384
Ti2 0.3329 0.6671 0.0000
Ti3 0.7284 0.7284 0.1528
Ti4 0.4759 0.4759 0.2894
Ti5 0.5241 0.5241 0.7106
Ti6 0.2716 0.2716 0.8472
Ti7 0.4026 0.0066 0.3384
Ti8 0.6671 0.3329 0.0000
Ti9 0.9934 0.5974 0.6616
Ti10 0.5974 0.9934 0.6616
Ga1 0.7482 0.7482 0.8852
Ga2 0.7022 0.7022 0.4600
Ga3 0.0000 0.0000 0.0000
Ga4 0.0000 0.0000 0.5000
Ga5 0.2518 0.2518 0.1148
Ga6 0.2978 0.2978 0.5400
Pd1 0.0212 0.0212 0.7439
Pd2 0.9788 0.9788 0.2561



(2)
A plane-wave DFT calculation with PBE was carried out for an optimized crystal structure of TiGa2Pd.

Energy of formation = -52 kJ per mole of atoms
Total magnetization = 0.000 μB per formula unit

a b c (Å): 2.9492 2.9492 7.0713
angles (deg): 90.00 90.00 90.00
Fractional coordinates of all 4 atoms:
Ga1 0.0000 0.0000 0.7612
Ga2 0.0000 0.0000 0.2388
Pd1 0.5000 0.5000 0.0000
Ti1 0.5000 0.5000 0.5000



(3)
A plane-wave DFT calculation with PBE was carried out for an optimized crystal structure of TiGa6Pd12.

Energy of formation = -38 kJ per mole of atoms
Total magnetization = 0.001 μB per formula unit

a b c (Å): 7.0587 7.0587 7.0587
angles (deg): 99.65 99.65 99.65
Fractional coordinates of all 19 atoms:
Ti1 0.0000 0.0000 0.0000
Ga1 0.7252 0.8394 0.4803
Ga2 0.5197 0.2748 0.1606
Ga3 0.1606 0.5197 0.2748
Ga4 0.2748 0.1606 0.5197
Ga5 0.4803 0.7252 0.8394
Ga6 0.8394 0.4803 0.7252
Pd1 0.8233 0.5151 0.3797
Pd2 0.3797 0.8233 0.5151
Pd3 0.5151 0.3797 0.8233
Pd4 0.1767 0.4849 0.6203
Pd5 0.6203 0.1767 0.4849
Pd6 0.4849 0.6203 0.1767
Pd7 0.0220 0.8745 0.3185
Pd8 0.1255 0.6815 0.9780
Pd9 0.6815 0.9780 0.1255
Pd10 0.9780 0.1255 0.6815
Pd11 0.8745 0.3185 0.0220
Pd12 0.3185 0.0220 0.8745